The following is a DFT calculation (PBE-GGA) of a relaxed NaTb2DySe4 crystal.

Geometry as CIF:
```
data_NaTb2DySe4
_chemical_formula_sum 'Na1 Tb2 Dy1 Se4'
_cell_length_a 7.135
_cell_length_b 4.083
_cell_length_c 7.136
_cell_angle_alpha 90.00
_cell_angle_beta 109.00
_cell_angle_gamma 90.00
_symmetry_space_group_name_H-M 'P 1'
_symmetry_Int_Tables_number 1
_symmetry_space_group_name_Hall 'P 1'
loop_
_atom_site_label
_atom_site_fract_x
_atom_site_fract_y
_atom_site_fract_z
Na1 0.000 0.000 0.000
Tb1 0.500 0.000 0.500
Tb2 0.500 0.500 0.000
Dy1 0.000 0.500 0.500
Se1 0.248 0.000 0.749
Se2 0.252 0.500 0.254
Se3 0.748 0.500 0.746
Se4 0.752 0.000 0.251
```

Total magnetic moment = 0.00 μB per cell
SG = P2/m (10)
Energy relative to the elements, uncorrected = -13.91 eV/f.u.


The following is a DFT calculation (PBE-GGA) of a relaxed Ba8Bi3I4 crystal.

Geometry as CIF:
```
data_Ba8Bi3I4
_chemical_formula_sum 'Ba8 Bi3 I4'
_cell_length_a 10.849
_cell_length_b 10.849
_cell_length_c 10.849
_cell_angle_alpha 55.95
_cell_angle_beta 55.95
_cell_angle_gamma 55.95
_symmetry_space_group_name_H-M 'P 1'
_symmetry_Int_Tables_number 1
_symmetry_space_group_name_Hall 'P 1'
loop_
_atom_site_label
_atom_site_fract_x
_atom_site_fract_y
_atom_site_fract_z
Ba1 0.225 0.745 0.745
Ba2 0.233 0.233 0.233
Ba3 0.255 0.255 0.775
Ba4 0.255 0.775 0.255
Ba5 0.745 0.225 0.745
Ba6 0.745 0.745 0.225
Ba7 0.767 0.767 0.767
Ba8 0.775 0.255 0.255
Bi1 0.000 0.000 0.500
Bi2 0.000 0.500 0.000
Bi3 0.500 0.000 0.000
I1 0.000 0.000 0.000
I2 0.358 0.358 0.358
I3 0.500 0.500 0.500
I4 0.642 0.642 0.642
```

Total magnetic moment = 0.00 μB per cell
SG = R-3m (166)
Energy relative to the elements, uncorrected = -16.76 eV/f.u.


The following is a DFT calculation (PBE-GGA) of a relaxed AcSeF crystal.

Geometry as CIF:
```
data_AcSeF
_chemical_formula_sum 'Ac1 Se1 F1'
_cell_length_a 4.886
_cell_length_b 4.886
_cell_length_c 4.886
_cell_angle_alpha 60.00
_cell_angle_beta 60.00
_cell_angle_gamma 60.00
_symmetry_space_group_name_H-M 'P 1'
_symmetry_Int_Tables_number 1
_symmetry_space_group_name_Hall 'P 1'
loop_
_atom_site_label
_atom_site_fract_x
_atom_site_fract_y
_atom_site_fract_z
Ac1 0.000 0.000 0.000
Se1 0.750 0.750 0.750
F1 0.250 0.250 0.250
```

Total magnetic moment = 0.00 μB per cell
Excess energy over the best structure of this formula in the dataset = 263 meV per atom
SG = F-43m (216)
Energy relative to the elements, uncorrected = -8.34 eV/f.u.


The following is a DFT calculation (PBE-GGA) of a relaxed ZnRe2Ru crystal.

Geometry as CIF:
```
data_ZnRe2Ru
_chemical_formula_sum 'Zn1 Re2 Ru1'
_cell_length_a 8.995
_cell_length_b 8.995
_cell_length_c 8.995
_cell_angle_alpha 17.69
_cell_angle_beta 17.69
_cell_angle_gamma 17.69
_symmetry_space_group_name_H-M 'P 1'
_symmetry_Int_Tables_number 1
_symmetry_space_group_name_Hall 'P 1'
loop_
_atom_site_label
_atom_site_fract_x
_atom_site_fract_y
_atom_site_fract_z
Zn1 0.000 0.000 0.000
Re1 0.502 0.502 0.502
Re2 0.753 0.753 0.753
Ru1 0.250 0.250 0.250
```

Energy relative to the elements = 0.083 eV/atom
Total magnetic moment = 0.00 μB per cell
SG = R3m (160)